1.
GdDyIr2 (GGA-PBEsol, optimized geometry); raw total energy = -10.51 eV/atom; energy of formation = -0.7387 eV/atom; space-group type = No. 225; magnetic moment = 6.94 μB per formula unit
1.0
0.000 3.391 3.391
3.391 0.000 3.391
3.391 3.391 0.000
Gd Dy Ir
1 1 2
Direct
0.000 0.000 0.000
0.500 0.500 0.500
0.250 0.250 0.250
0.750 0.750 0.750



2.
GdDyNi2 (GGA-PBEsol, optimized geometry); raw total energy = -8.35 eV/atom; energy of formation = -0.4185 eV/atom; space-group type = No. 6; magnetic moment = 7.20 μB per formula unit
1.0
5.339 0.000 0.000
0.000 4.157 0.000
-1.290 0.000 10.339
Gd Dy Ni
3 3 6
Direct
0.000 0.000 0.000
0.159 0.000 0.664
0.674 0.500 0.757
0.309 0.000 0.331
0.521 0.500 0.093
0.830 0.500 0.423
0.038 0.500 0.189
0.207 0.500 0.855
0.359 0.500 0.518
0.472 0.000 0.904
0.629 0.000 0.566
0.791 0.000 0.237



3.
GdDyNi2 (GGA-PBEsol, optimized geometry); raw total energy = -8.35 eV/atom; energy of formation = -0.4190 eV/atom; space-group type = No. 38; magnetic moment = 7.19 μB per formula unit
1.0
4.200 0.000 0.000
0.000 1.816 5.007
0.000 -1.816 5.007
Gd Dy Ni
1 1 2
Direct
0.000 0.000 0.000
0.500 0.278 0.278
0.000 0.714 0.714
0.500 0.567 0.567



4.
Dy3Ge5 (GGA-PBEsol, optimized geometry); raw total energy = -5.74 eV/atom; energy of formation = -0.7828 eV/atom; space-group type = No. 43; magnetic moment = 0.00 μB per formula unit
1.0
0.000 8.532 6.783
2.837 0.000 6.783
2.837 8.532 0.000
Dy Ge
6 10
Direct
0.000 0.000 0.000
0.250 0.250 0.250
0.353 0.661 0.310
0.575 0.940 0.589
0.661 0.353 0.675
0.940 0.575 0.897
0.028 0.779 0.342
0.175 0.499 0.999
0.251 0.923 0.075
0.399 0.908 0.471
0.451 0.451 0.549
0.499 0.175 0.327
0.701 0.701 0.799
0.779 0.028 0.851
0.908 0.399 0.222
0.923 0.251 0.751